The following is a DFT calculation (PBE-GGA) of a relaxed FeCoSiHg crystal.

abc: 6.008 6.008 6.008
angles: 90.00 90.00 90.00
Space group F-43m (No. 216)
Unique sites:
Fe  0.000  0.000  0.000
Co  0.000  0.000  0.500
Si  0.250  0.250  0.250
Hg  0.250  0.250  0.750

Results
* DFT total energy: -4.9612 eV/atom
* V: 216.9 Å³ per cell
* energy above the lowest structure with this stoichiometry: 0.0000 eV/atom
* total moment: 0.63 μB per atom



The following is a DFT calculation (PBE-GGA) of a relaxed TlFeCoHg crystal.

abc: 6.436 6.436 6.436
angles: 90.00 90.00 90.00
Space group F-43m (No. 216)
Unique sites:
Tl  0.000  0.000  0.000
Fe  0.250  0.250  0.750
Co  0.250  0.250  0.250
Hg  0.000  0.000  0.500

Results
* DFT total energy: -3.9302 eV/atom
* V: 266.6 Å³ per cell
* energy above the lowest structure with this stoichiometry: 0.0000 eV/atom
* total moment: 0.99 μB per atom